[1]
An optimized crystal structure of BaCaZr2, computed with PBEsol.

Summary:
- Energy above the most stable polymorph in this dataset: 0 meV/atom
- Volume: 118.5 Å³ per cell
- Electronic total energy: -20.3 eV per formula unit
- Formation energy from the elements: 0.55 eV/atom

Structure (CIF):
```
data_BaCaZr2
_cell_length_a 3.205
_cell_length_b 5.838
_cell_length_c 6.493
_cell_angle_alpha 90.00
_cell_angle_beta 102.76
_cell_angle_gamma 90.00
_symmetry_space_group_name_H-M 'P 1 2/m 1'
_symmetry_Int_Tables_number 10
loop_
_symmetry_equiv_pos_as_xyz
'x,y,z'
'-x,-y,-z'
'-x,y,-z'
'x,-y,z'
loop_
_atom_site_label
_atom_site_type_symbol
_atom_site_fract_x
_atom_site_fract_y
_atom_site_fract_z
_atom_site_occupancy
Ba1 Ba 0.000 0.000 0.000 1
Ca1 Ca 0.500 0.000 0.500 1
Zr1 Zr 0.323 0.500 0.705 1
```


[2]
An optimized crystal structure of BaCaZr2, computed with PBEsol.

Summary:
- Energy above the most stable polymorph in this dataset: 71 meV/atom
- Volume: 227.8 Å³ per cell
- Electronic total energy: -20.0 eV per formula unit
- Formation energy from the elements: 0.62 eV/atom

Structure (CIF):
```
data_BaCaZr2
_cell_length_a 4.624
_cell_length_b 4.624
_cell_length_c 10.654
_cell_angle_alpha 90.00
_cell_angle_beta 90.00
_cell_angle_gamma 90.00
_symmetry_space_group_name_H-M 'I 4/m m m'
_symmetry_Int_Tables_number 139
_symmetry_space_group_name_Hall '-I 4 2'
loop_
_atom_site_label
_atom_site_type_symbol
_atom_site_fract_x
_atom_site_fract_y
_atom_site_fract_z
_atom_site_occupancy
Ba1 Ba 0.000 0.000 0.000 1
Ca1 Ca 0.000 0.000 0.500 1
Zr1 Zr 0.000 0.500 0.250 1
```


Theoretical density? In order: 5.04 5.25 g/cm³.